Entry 1:
A plane-wave DFT calculation with GGA-PBE was carried out for a relaxed DyEr7In4 crystal. Values from VASP.

```
&SYSTEM
  ibrav = 0, nat = 12, ntyp = 3
/
ATOMIC_SPECIES
Dy 162.50 Dy.upf
Er 167.26 Er.upf
In 114.82 In.upf
ATOMIC_POSITIONS angstrom
Dy 0.0000 0.0000 0.0000
Er -1.3645 0.0000 3.4185
Er -1.9953 0.0000 7.5417
Er 2.0710 0.0000 2.8872
Er 7.2090 0.0000 0.0000
Er 6.5929 0.0000 5.7107
Er 10.6592 0.0000 1.0562
Er 10.0284 0.0000 5.1794
In 0.7691 0.0000 5.7170
In 4.9309 0.0000 2.0967
In 3.7330 0.0000 6.5012
In 7.8949 0.0000 2.8809
CELL_PARAMETERS angstrom
7.2090 -2.8111 0.0000
7.2090 2.8111 0.0000
-5.7542 0.0000 8.5979
```

## Properties
volume: 29.0 Å³ per atom
space-group type: C2/m (12)
DFT formation energy: -0.074 eV per atom

Entry 2:
A plane-wave DFT calculation with GGA-PBE was carried out for a relaxed SrTaCu4 crystal. Values from VASP.

```
&SYSTEM
  ibrav = 0, nat = 6, ntyp = 3
/
ATOMIC_SPECIES
Sr 87.62 Sr.upf
Ta 180.95 Ta.upf
Cu 63.55 Cu.upf
ATOMIC_POSITIONS angstrom
Sr 0.0000 0.0000 0.0000
Ta 5.4942 5.4942 5.4942
Cu 2.7603 2.7603 2.7603
Cu 4.5652 4.5652 2.7603
Cu 4.5652 2.7603 4.5652
Cu 2.7603 4.5652 4.5652
CELL_PARAMETERS angstrom
0.0000 3.6628 3.6628
3.6628 0.0000 3.6628
3.6628 3.6628 0.0000
```

## Properties
volume: 16.4 Å³ per atom
space-group type: F-43m (216)
DFT formation energy: 0.417 eV per atom

Entry 3:
A plane-wave DFT calculation with GGA-PBE was carried out for a relaxed MoSe crystal. Values from VASP.

```
&SYSTEM
  ibrav = 0, nat = 4, ntyp = 2
/
ATOMIC_SPECIES
Mo 95.94 Mo.upf
Se 78.96 Se.upf
ATOMIC_POSITIONS angstrom
Mo 0.0000 1.0821 1.0983
Mo 1.5737 1.0821 3.7838
Se 1.5737 1.0821 -1.0534
Se 0.0000 1.0821 5.9355
CELL_PARAMETERS angstrom
-1.5737 2.1643 4.8821
1.5737 -2.1643 4.8821
1.5737 2.1643 -4.8821
```

## Properties
volume: 16.6 Å³ per atom
energy relative to the lowest polymorph listed for this composition: 462 meV per atom
space-group type: Imma (74)
formation energy without anion corrections: 0.18 eV/atom